Here is an optimized crystal structure of Pm2Nd4Bi3N2 from the Alexandria database. Energies are from PBE-GGA.

Calculated values
formation energy from raw total energies = -1.01 eV/atom
final energy = -6.18 eV/atom
SG = No. 139
DOS(E_F) = 4.27 states/eV/cell

a b c (Å): 13.7308 13.7308 13.7308
angles (deg): 159.64 159.64 28.94
Atoms (fractional coordinates):
1 Pm 0.1915 0.1915 0.0000
2 Pm 0.8085 0.8085 0.0000
3 Nd 0.0841 0.5841 0.5000
4 Nd 0.4159 0.9159 0.5000
5 Nd 0.5841 0.0841 0.5000
6 Nd 0.9159 0.4159 0.5000
7 Bi 0.3194 0.3194 0.0000
8 Bi 0.5000 0.5000 0.0000
9 Bi 0.6806 0.6806 0.0000
10 N 0.1055 0.1055 0.0000
11 N 0.8945 0.8945 0.0000

Here is an optimized crystal structure of ErSc2Cd from the Alexandria database. Energies are from PBE-GGA.

Calculated values
final energy = -4.65 eV/atom
SG = No. 123
ΔE to the lowest computed polymorph = 0.015 eV/atom
DOS(E_F) = 4.95 states/eV/cell
E_form = -0.5 eV/f.u.

a b c (Å): 3.3841 3.3841 8.7065
angles (deg): 90.00 90.00 90.00
Atoms (fractional coordinates):
1 Er 0.0000 0.0000 0.0000
2 Sc 0.5000 0.5000 0.2736
3 Sc 0.5000 0.5000 0.7264
4 Cd 0.0000 0.0000 0.5000

Here is an optimized crystal structure of Nd2Al4CdCu3 from the Alexandria database. Energies are from PBE-GGA.

Calculated values
final energy = -4.15 eV/atom
SG = No. 115
DOS(E_F) = 5.40 states/eV/cell
E_form = -3.7 eV/f.u.

a b c (Å): 4.2835 4.2835 10.4949
angles (deg): 90.00 90.00 90.00
Atoms (fractional coordinates):
1 Nd 0.0000 0.5000 0.2416
2 Nd 0.5000 0.0000 0.7584
3 Al 0.0000 0.0000 0.0000
4 Al 0.0000 0.5000 0.6488
5 Al 0.5000 0.0000 0.3512
6 Al 0.5000 0.5000 0.0000
7 Cd 0.0000 0.0000 0.5000
8 Cu 0.0000 0.5000 0.8781
9 Cu 0.5000 0.0000 0.1219
10 Cu 0.5000 0.5000 0.5000

Here is an optimized crystal structure of NaMg3 from the Alexandria database. Energies are from PBE-GGA.

Calculated values
final energy = -1.28 eV/atom
SG = No. 194
DOS(E_F) = 4.89 states/eV/cell
E_form = 1.0 eV/f.u.

a b c (Å): 5.1776 5.1776 9.3677
angles (deg): 90.00 90.00 120.00
Atoms (fractional coordinates):
1 Na 0.3333 0.6667 0.2500
2 Na 0.6667 0.3333 0.7500
3 Mg 0.0000 0.0000 0.2500
4 Mg 0.0000 0.0000 0.7500
5 Mg 0.3333 0.6667 0.5849
6 Mg 0.3333 0.6667 0.9151
7 Mg 0.6667 0.3333 0.0849
8 Mg 0.6667 0.3333 0.4151

Here is an optimized crystal structure of ReNi2Pt2 from the Alexandria database. Energies are from PBE-GGA.

Calculated values
final energy = -7.30 eV/atom
SG = No. 12
DOS(E_F) = 5.62 states/eV/cell
E_form = -0.4 eV/f.u.

a b c (Å): 4.6965 4.6965 6.5256
angles (deg): 119.20 119.20 33.39
Atoms (fractional coordinates):
1 Re 0.0000 0.0000 0.0000
2 Ni 0.3981 0.3981 0.6057
3 Ni 0.6019 0.6019 0.3943
4 Pt 0.1938 0.1938 0.7850
5 Pt 0.8062 0.8062 0.2150

Here is an optimized crystal structure of ReRu2Rh2 from the Alexandria database. Energies are from PBE-GGA.

Calculated values
final energy = -8.74 eV/atom
SG = No. 127
ΔE to the lowest computed polymorph = 0.407 eV/atom
DOS(E_F) = 10.56 states/eV/cell
E_form = 2.0 eV/f.u.

a b c (Å): 7.3320 7.3320 2.7453
angles (deg): 90.00 90.00 90.00
Atoms (fractional coordinates):
1 Re 0.0000 0.0000 0.0000
2 Re 0.5000 0.5000 0.0000
3 Ru 0.1220 0.3780 0.0000
4 Ru 0.3780 0.8780 0.0000
5 Ru 0.6220 0.1220 0.0000
6 Ru 0.8780 0.6220 0.0000
7 Rh 0.1749 0.6749 0.5000
8 Rh 0.3251 0.1749 0.5000
9 Rh 0.6749 0.8251 0.5000
10 Rh 0.8251 0.3251 0.5000